The following is a GGA-PBE calculation of an optimized crystal structure of Ce2ErPuSe4, from the Alexandria database.

Total energy = -7.31 eV per atom
Formation energy without anion corrections = -1.73 eV/atom
D(E_F) = 2.3904 states/eV per atom
Calculated density = 8.28 g cm⁻³

Structure (CIF):
```
data_Ce2ErPuSe4
_chemical_formula_sum 'Ce2 Er1 Pu1 Se4'
_cell_length_a 4.1234
_cell_length_b 7.1799
_cell_length_c 7.2177
_cell_angle_alpha 109.11
_cell_angle_beta 90.00
_cell_angle_gamma 90.00
_space_group_name_H-M_alt 'P 1'
_space_group_IT_number 1
loop_
_space_group_symop_operation_xyz
'x,y,z'
loop_
_atom_site_label
_atom_site_fract_x
_atom_site_fract_y
_atom_site_fract_z
_atom_site_occupancy
Ce1 0.0000 0.5000 0.5000 1
Ce2 0.5000 0.0000 0.5000 1
Se1 0.5000 0.2417 0.2378 1
Se2 0.5000 0.7583 0.7622 1
Se3 0.0000 0.7509 0.2405 1
Se4 0.0000 0.2491 0.7595 1
Er1 0.0000 0.0000 0.0000 1
Pu1 0.5000 0.5000 0.0000 1
```